Below is a relaxed structure of Ce3Bi2Ru, with properties calculated at the PBE-GGA level.

Computed properties:
E_tot: -6.3185 eV/atom
Total magnetization: 7.81 μB/cell
Energy of formation: -0.5120 eV per atom
Crystal system: monoclinic

Structure (CIF):
```
data_Ce3Bi2Ru
_chemical_formula_sum 'Ce12 Bi8 Ru4'
_cell_length_a 7.530
_cell_length_b 12.919
_cell_length_c 7.790
_cell_angle_alpha 90.00
_cell_angle_beta 109.07
_cell_angle_gamma 90.00
_space_group_name_H-M_alt 'C 1 2/m 1'
_space_group_IT_number 12
loop_
_space_group_symop_operation_xyz
'x,y,z'
'-x,-y,-z'
'-x,y,-z'
'x,-y,z'
'x+1/2,y+1/2,z'
'-x+1/2,-y+1/2,-z'
'-x+1/2,y+1/2,-z'
'x+1/2,-y+1/2,z'
loop_
_atom_site_label
_atom_site_type_symbol
_atom_site_fract_x
_atom_site_fract_y
_atom_site_fract_z
Ce1 Ce 0.201 0.000 0.205
Ce2 Ce 0.246 0.184 0.780
Bi1 Bi 0.000 0.000 0.500
Bi2 Bi 0.000 0.349 0.500
Bi3 Bi 0.000 0.500 0.000
Ru1 Ru 0.000 0.167 0.000
```